Entry 1:
# LaSi2Mo | Alexandria | GGA-PBE | relaxed
data_LaSi2Mo
_chemical_formula_sum 'La1 Si2 Mo1'
_cell_length_a 5.8260
_cell_length_b 5.8260
_cell_length_c 5.8260
_cell_angle_alpha 42.71
_cell_angle_beta 42.71
_cell_angle_gamma 42.71
_symmetry_space_group_name_H-M 'P 1'
_symmetry_Int_Tables_number 1
loop_
_symmetry_equiv_pos_as_xyz
'x,y,z'
loop_
_atom_site_label
_atom_site_fract_x
_atom_site_fract_y
_atom_site_fract_z
La1 0.0000 0.0000 0.0000
Si1 0.2102 0.2102 0.2102
Si2 0.7898 0.7898 0.7898
Mo1 0.5000 0.5000 0.5000
# Theoretical density = 5.9 g cm⁻³
# E above lowest polymorph = 88 meV per atom
# Size of the total moment = 0.00 μB/f.u.
# VASP energy = -7.01 eV per atom
# ΔE_f (raw) = -0.357 eV/atom

Entry 2:
# LaSiMo2 | Alexandria | GGA-PBE | relaxed
data_LaSiMo2
_chemical_formula_sum 'La1 Si1 Mo2'
_cell_length_a 3.2426
_cell_length_b 3.2426
_cell_length_c 7.3528
_cell_angle_alpha 90.00
_cell_angle_beta 90.00
_cell_angle_gamma 90.00
_symmetry_space_group_name_H-M 'P 1'
_symmetry_Int_Tables_number 1
loop_
_symmetry_equiv_pos_as_xyz
'x,y,z'
loop_
_atom_site_label
_atom_site_fract_x
_atom_site_fract_y
_atom_site_fract_z
La1 0.0000 0.0000 0.0000
Si1 0.5000 0.5000 0.6923
Mo1 0.0000 0.0000 0.5038
Mo2 0.5000 0.5000 0.3197
# Theoretical density = 7.7 g cm⁻³
# Size of the total moment = 0.00 μB/f.u.
# VASP energy = -8.06 eV per atom
# ΔE_f (raw) = -0.057 eV/atom

Entry 3:
# LaSi2Mo4 | Alexandria | GGA-PBE | relaxed
data_LaSi2Mo4
_chemical_formula_sum 'La1 Si2 Mo4'
_cell_length_a 6.9690
_cell_length_b 6.9690
_cell_length_c 4.4243
_cell_angle_alpha 90.00
_cell_angle_beta 90.00
_cell_angle_gamma 142.67
_symmetry_space_group_name_H-M 'P 1'
_symmetry_Int_Tables_number 1
loop_
_symmetry_equiv_pos_as_xyz
'x,y,z'
loop_
_atom_site_label
_atom_site_fract_x
_atom_site_fract_y
_atom_site_fract_z
La1 0.0000 0.0000 0.0000
Si1 0.4038 0.5962 0.5000
Si2 0.5962 0.4038 0.5000
Mo1 0.1939 0.8061 0.5000
Mo2 0.3021 0.6979 0.0000
Mo3 0.6979 0.3021 0.0000
Mo4 0.8061 0.1939 0.5000
# Theoretical density = 7.4 g cm⁻³
# Size of the total moment = 0.00 μB/f.u.
# VASP energy = -8.67 eV per atom
# ΔE_f (raw) = -0.227 eV/atom

Entry 4:
# LaSiMo2 | Alexandria | GGA-PBE | relaxed
data_LaSiMo2
_chemical_formula_sum 'La1 Si1 Mo2'
_cell_length_a 2.9977
_cell_length_b 2.9977
_cell_length_c 8.6420
_cell_angle_alpha 90.00
_cell_angle_beta 90.00
_cell_angle_gamma 108.90
_symmetry_space_group_name_H-M 'P 1'
_symmetry_Int_Tables_number 1
loop_
_symmetry_equiv_pos_as_xyz
'x,y,z'
loop_
_atom_site_label
_atom_site_fract_x
_atom_site_fract_y
_atom_site_fract_z
La1 0.0000 0.0000 0.0000
Si1 0.0000 0.0000 0.5000
Mo1 0.5000 0.5000 0.2995
Mo2 0.5000 0.5000 0.7005
# Theoretical density = 8.1 g cm⁻³
# Size of the total moment = 0.00 μB/f.u.
# VASP energy = -7.71 eV per atom
# ΔE_f (raw) = 0.297 eV/atom

Entry 5:
# LaSi2Mo | Alexandria | GGA-PBE | relaxed
data_LaSi2Mo
_chemical_formula_sum 'La1 Si2 Mo1'
_cell_length_a 3.5261
_cell_length_b 3.6832
_cell_length_c 6.4158
_cell_angle_alpha 90.00
_cell_angle_beta 105.88
_cell_angle_gamma 90.00
_symmetry_space_group_name_H-M 'P 1'
_symmetry_Int_Tables_number 1
loop_
_symmetry_equiv_pos_as_xyz
'x,y,z'
loop_
_atom_site_label
_atom_site_fract_x
_atom_site_fract_y
_atom_site_fract_z
La1 0.0000 0.0000 0.0000
Si1 0.2580 0.0000 0.5151
Si2 0.3784 0.5000 0.7566
Mo1 0.7252 0.5000 0.4495
# Theoretical density = 6.0 g cm⁻³
# E above lowest polymorph = 203 meV per atom
# Size of the total moment = 0.00 μB/f.u.
# VASP energy = -6.89 eV per atom
# ΔE_f (raw) = -0.242 eV/atom

Entry 6:
# LaSi2Mo | Alexandria | GGA-PBE | relaxed
data_LaSi2Mo
_chemical_formula_sum 'La1 Si2 Mo1'
_cell_length_a 4.7433
_cell_length_b 4.7433
_cell_length_c 4.7433
_cell_angle_alpha 60.00
_cell_angle_beta 60.00
_cell_angle_gamma 60.00
_symmetry_space_group_name_H-M 'P 1'
_symmetry_Int_Tables_number 1
loop_
_symmetry_equiv_pos_as_xyz
'x,y,z'
loop_
_atom_site_label
_atom_site_fract_x
_atom_site_fract_y
_atom_site_fract_z
La1 0.0000 0.0000 0.0000
Si1 0.2500 0.2500 0.2500
Si2 0.7500 0.7500 0.7500
Mo1 0.5000 0.5000 0.5000
# Theoretical density = 6.4 g cm⁻³
# E above lowest polymorph = 471 meV per atom
# Size of the total moment = 0.70 μB/f.u.
# VASP energy = -6.63 eV per atom
# ΔE_f (raw) = 0.026 eV/atom

Entry 7:
# LaSiMo2 | Alexandria | GGA-PBE | relaxed
data_LaSiMo2
_chemical_formula_sum 'La1 Si1 Mo2'
_cell_length_a 4.5010
_cell_length_b 4.5010
_cell_length_c 3.5044
_cell_angle_alpha 90.00
_cell_angle_beta 90.00
_cell_angle_gamma 90.00
_symmetry_space_group_name_H-M 'P 1'
_symmetry_Int_Tables_number 1
loop_
_symmetry_equiv_pos_as_xyz
'x,y,z'
loop_
_atom_site_label
_atom_site_fract_x
_atom_site_fract_y
_atom_site_fract_z
La1 0.0000 0.0000 0.0000
Si1 0.5000 0.5000 0.0000
Mo1 0.0000 0.5000 0.5000
Mo2 0.5000 0.0000 0.5000
# Theoretical density = 8.4 g cm⁻³
# Size of the total moment = 0.00 μB/f.u.
# VASP energy = -7.61 eV per atom
# ΔE_f (raw) = 0.393 eV/atom

Entry 8:
# LaSiMo2 | Alexandria | GGA-PBE | relaxed
data_LaSiMo2
_chemical_formula_sum 'La1 Si1 Mo2'
_cell_length_a 3.4133
_cell_length_b 4.1073
_cell_length_c 6.2598
_cell_angle_alpha 90.00
_cell_angle_beta 105.14
_cell_angle_gamma 90.00
_symmetry_space_group_name_H-M 'P 1'
_symmetry_Int_Tables_number 1
loop_
_symmetry_equiv_pos_as_xyz
'x,y,z'
loop_
_atom_site_label
_atom_site_fract_x
_atom_site_fract_y
_atom_site_fract_z
La1 0.0000 0.0000 0.0000
Si1 0.3891 0.5000 0.7682
Mo1 0.2682 0.0000 0.5111
Mo2 0.7430 0.5000 0.4623
# Theoretical density = 7.0 g cm⁻³
# Size of the total moment = 0.00 μB/f.u.
# VASP energy = -7.99 eV per atom
# ΔE_f (raw) = 0.016 eV/atom

Entry 9:
# LaSi2Mo | Alexandria | GGA-PBE | relaxed
data_LaSi2Mo
_chemical_formula_sum 'La1 Si2 Mo1'
_cell_length_a 4.8221
_cell_length_b 4.8221
_cell_length_c 3.5381
_cell_angle_alpha 97.98
_cell_angle_beta 97.98
_cell_angle_gamma 105.39
_symmetry_space_group_name_H-M 'P 1'
_symmetry_Int_Tables_number 1
loop_
_symmetry_equiv_pos_as_xyz
'x,y,z'
loop_
_atom_site_label
_atom_site_fract_x
_atom_site_fract_y
_atom_site_fract_z
La1 0.0000 0.0000 0.0000
Si1 0.0000 0.5000 0.5000
Si2 0.5000 0.0000 0.5000
Mo1 0.5000 0.5000 0.0000
# Theoretical density = 6.3 g cm⁻³
# E above lowest polymorph = 616 meV per atom
# Size of the total moment = 0.00 μB/f.u.
# VASP energy = -6.48 eV per atom
# ΔE_f (raw) = 0.171 eV/atom

Entry 10:
# LaSi2Mo | Alexandria | GGA-PBE | relaxed
data_LaSi2Mo
_chemical_formula_sum 'La1 Si2 Mo1'
_cell_length_a 3.8865
_cell_length_b 4.4138
_cell_length_c 4.4505
_cell_angle_alpha 90.00
_cell_angle_beta 90.00
_cell_angle_gamma 90.00
_symmetry_space_group_name_H-M 'P 1'
_symmetry_Int_Tables_number 1
loop_
_symmetry_equiv_pos_as_xyz
'x,y,z'
loop_
_atom_site_label
_atom_site_fract_x
_atom_site_fract_y
_atom_site_fract_z
La1 0.0000 0.0000 0.0000
Si1 0.0000 0.5000 0.5000
Si2 0.5000 0.5000 0.0000
Mo1 0.5000 0.0000 0.5000
# Theoretical density = 6.3 g cm⁻³
# E above lowest polymorph = 668 meV per atom
# Size of the total moment = 0.00 μB/f.u.
# VASP energy = -6.43 eV per atom
# ΔE_f (raw) = 0.223 eV/atom

Entry 11:
# LaSiMo2 | Alexandria | GGA-PBE | relaxed
data_LaSiMo2
_chemical_formula_sum 'La1 Si1 Mo2'
_cell_length_a 4.7784
_cell_length_b 4.7784
_cell_length_c 5.4516
_cell_angle_alpha 100.22
_cell_angle_beta 100.22
_cell_angle_gamma 41.20
_symmetry_space_group_name_H-M 'P 1'
_symmetry_Int_Tables_number 1
loop_
_symmetry_equiv_pos_as_xyz
'x,y,z'
loop_
_atom_site_label
_atom_site_fract_x
_atom_site_fract_y
_atom_site_fract_z
La1 0.0000 0.0000 0.0000
Si1 0.5000 0.5000 0.5000
Mo1 0.2296 0.2296 0.6612
Mo2 0.7704 0.7704 0.3388
# Theoretical density = 7.4 g cm⁻³
# Size of the total moment = 0.00 μB/f.u.
# VASP energy = -7.90 eV per atom
# ΔE_f (raw) = 0.102 eV/atom

Entry 12:
# LaSi2Mo | Alexandria | GGA-PBE | relaxed
data_LaSi2Mo
_chemical_formula_sum 'La1 Si2 Mo1'
_cell_length_a 8.8616
_cell_length_b 8.8616
_cell_length_c 8.8616
_cell_angle_alpha 20.91
_cell_angle_beta 20.91
_cell_angle_gamma 20.91
_symmetry_space_group_name_H-M 'P 1'
_symmetry_Int_Tables_number 1
loop_
_symmetry_equiv_pos_as_xyz
'x,y,z'
loop_
_atom_site_label
_atom_site_fract_x
_atom_site_fract_y
_atom_site_fract_z
La1 0.0000 0.0000 0.0000
Si1 0.5028 0.5028 0.5028
Si2 0.7688 0.7688 0.7688
Mo1 0.2351 0.2351 0.2351
# Theoretical density = 6.2 g cm⁻³
# E above lowest polymorph = 846 meV per atom
# Size of the total moment = 0.00 μB/f.u.
# VASP energy = -6.25 eV per atom
# ΔE_f (raw) = 0.401 eV/atom